1.
A plane-wave DFT calculation with PBE-GGA was carried out for a relaxed structure of PrMg2F8.

Properties
* volume: 155.1 Å³/f.u.
* M_tot: 1.1 μB per formula unit
* E_tot: -5.309 eV per atom
* symmetry: I422

a b c (Å): 6.7514 6.7514 6.7514
angles (deg): 134.31 134.31 66.61
With the nearest neighbours (Å) after each atom.
Element x y z (fractional)
Pr1 0.0000 0.0000 0.0000  8 F 2.40
Mg1 0.2500 0.7500 0.5000  4 F 1.98
Mg2 0.7500 0.2500 0.5000  4 F 1.98
F1 0.0606 0.5742 0.9080  1 Mg 1.98
F2 0.1526 0.0606 0.4864  1 Mg 1.98
F3 0.3338 0.4258 0.4864  1 Mg 1.98
F4 0.4258 0.9394 0.0920  1 Mg 1.98
F5 0.5742 0.6662 0.5136  1 Mg 1.98
F6 0.6662 0.1526 0.0920  1 Mg 1.98
F7 0.8474 0.3338 0.9080  1 Mg 1.98
F8 0.9394 0.8474 0.5136  1 Mg 1.98



2.
A plane-wave DFT calculation with PBE-GGA was carried out for a relaxed structure of Pr3Mg5F12.

Properties
* volume: 325.4 Å³/f.u.
* M_tot: 0.0 μB per formula unit
* E_tot: -5.047 eV per atom
* symmetry: Ia-3d

a b c (Å): 11.9138 11.9138 11.9138
angles (deg): 109.47 109.47 109.47
With the nearest neighbours (Å) after each atom.
Element x y z (fractional)
Pr1 0.1250 0.2500 0.3750  4 F 2.42
Pr2 0.1250 0.3750 0.7500  4 F 2.42
Pr3 0.2500 0.3750 0.1250  4 F 2.42
Pr4 0.2500 0.8750 0.6250  4 F 2.42
Pr5 0.3750 0.1250 0.2500  4 F 2.42
Pr6 0.3750 0.7500 0.1250  4 F 2.42
Pr7 0.6250 0.2500 0.8750  4 F 2.42
Pr8 0.6250 0.8750 0.7500  4 F 2.42
Pr9 0.7500 0.1250 0.3750  4 F 2.42
Pr10 0.7500 0.6250 0.8750  4 F 2.42
Pr11 0.8750 0.6250 0.2500  4 F 2.42
Pr12 0.8750 0.7500 0.6250  4 F 2.42
Mg1 0.0000 0.0000 0.0000  6 F 2.07
Mg2 0.0000 0.0000 0.5000  6 F 2.07
Mg3 0.0000 0.5000 0.0000  6 F 2.07
Mg4 0.0000 0.5000 0.5000  6 F 2.07
Mg5 0.1250 0.7500 0.8750  4 F 2.42
Mg6 0.1250 0.8750 0.2500  4 F 2.42
Mg7 0.2500 0.1250 0.8750  4 F 2.42
Mg8 0.2500 0.6250 0.3750  4 F 2.42
Mg9 0.3750 0.2500 0.6250  4 F 2.42
Mg10 0.3750 0.6250 0.7500  4 F 2.42
Mg11 0.5000 0.0000 0.0000  6 F 2.07
Mg12 0.5000 0.0000 0.5000  6 F 2.07
Mg13 0.5000 0.5000 0.0000  6 F 2.07
Mg14 0.5000 0.5000 0.5000  6 F 2.07
Mg15 0.6250 0.3750 0.2500  4 F 2.42
Mg16 0.6250 0.7500 0.3750  4 F 2.42
Mg17 0.7500 0.3750 0.6250  4 F 2.42
Mg18 0.7500 0.8750 0.1250  4 F 2.42
Mg19 0.8750 0.1250 0.7500  4 F 2.42
Mg20 0.8750 0.2500 0.1250  4 F 2.42
F1 0.0531 0.2039 0.1066  1 Mg 2.07
F2 0.0531 0.3492 0.9465  1 Mg 2.07
F3 0.0535 0.6066 0.4027  1 Mg 2.07
F4 0.0535 0.9469 0.6508  1 Mg 2.07
F5 0.0973 0.7039 0.6508  1 Mg 2.07
F6 0.0973 0.8934 0.4465  1 Mg 2.07
F7 0.1066 0.0531 0.2039  1 Mg 2.07
F8 0.1066 0.5535 0.9027  1 Mg 2.07
F9 0.1508 0.2039 0.5973  1 Mg 2.07
F10 0.1508 0.4469 0.5535  1 Mg 2.07
F11 0.2039 0.1066 0.0531  1 Mg 2.07
F12 0.2039 0.5973 0.1508  1 Mg 2.07
F13 0.2961 0.3492 0.9027  1 Mg 2.07
F14 0.2961 0.4469 0.3934  1 Mg 2.07
F15 0.3492 0.9027 0.2961  1 Mg 2.07
F16 0.3492 0.9465 0.0531  1 Mg 2.07
F17 0.3934 0.2961 0.4469  1 Mg 2.07
F18 0.3934 0.5973 0.9465  1 Mg 2.07
F19 0.4027 0.0535 0.6066  1 Mg 2.07
F20 0.4027 0.8492 0.7961  1 Mg 2.07
F21 0.4465 0.0973 0.8934  1 Mg 2.07
F22 0.4469 0.3934 0.2961  1 Mg 2.07
F23 0.4469 0.5535 0.1508  1 Mg 2.07
F24 0.4465 0.8492 0.5531  1 Mg 2.07
F25 0.5535 0.1508 0.4469  1 Mg 2.07
F26 0.5531 0.4465 0.8492  1 Mg 2.07
F27 0.5531 0.6066 0.7039  1 Mg 2.07
F28 0.5535 0.9027 0.1066  1 Mg 2.07
F29 0.5973 0.1508 0.2039  1 Mg 2.07
F30 0.5973 0.9465 0.3934  1 Mg 2.07
F31 0.6066 0.4027 0.0535  1 Mg 2.07
F32 0.6066 0.7039 0.5531  1 Mg 2.07
F33 0.6508 0.0535 0.9469  1 Mg 2.07
F34 0.6508 0.0973 0.7039  1 Mg 2.07
F35 0.7039 0.5531 0.6066  1 Mg 2.07
F36 0.7039 0.6508 0.0973  1 Mg 2.07
F37 0.7961 0.4027 0.8492  1 Mg 2.07
F38 0.7961 0.8934 0.9469  1 Mg 2.07
F39 0.8492 0.5531 0.4465  1 Mg 2.07
F40 0.8492 0.7961 0.4027  1 Mg 2.07
F41 0.8934 0.4465 0.0973  1 Mg 2.07
F42 0.8934 0.9469 0.7961  1 Mg 2.07
F43 0.9027 0.1066 0.5535  1 Mg 2.07
F44 0.9027 0.2961 0.3492  1 Mg 2.07
F45 0.9465 0.0531 0.3492  1 Mg 2.07
F46 0.9465 0.3934 0.5973  1 Mg 2.07
F47 0.9469 0.6508 0.0535  1 Mg 2.07
F48 0.9469 0.7961 0.8934  1 Mg 2.07



3.
A plane-wave DFT calculation with PBE-GGA was carried out for a relaxed structure of PrMgF.

Properties
* volume: 70.9 Å³/f.u.
* M_tot: 0.0 μB per formula unit
* E_tot: -4.200 eV per atom
* symmetry: Amm2

a b c (Å): 13.1330 3.6879 3.6879
angles (deg): 52.50 90.00 90.00
With the nearest neighbours (Å) after each atom.
Element x y z (fractional)
Pr1 0.2130 0.0000 0.0000  1 F 2.52
Pr2 0.7870 0.0000 0.0000  1 F 2.52
Mg1 0.0000 0.2989 0.2989  2 Mg 3.26, 6 Pr 3.43-3.50
Mg2 0.5000 0.4953 0.4953  4 F 2.05
F1 0.4050 0.9970 0.9970  2 Mg 2.05
F2 0.5950 0.9970 0.9970  2 Mg 2.05



4.
A plane-wave DFT calculation with PBE-GGA was carried out for a relaxed structure of Rb2PrMg3F12.

Properties
* volume: 277.2 Å³/f.u.
* M_tot: 1.2 μB per formula unit
* E_tot: -5.152 eV per atom
* symmetry: R-3m

a b c (Å): 7.0914 7.0914 7.0914
angles (deg): 64.52 64.52 64.52
With the nearest neighbours (Å) after each atom.
Element x y z (fractional)
Rb1 0.1057 0.1057 0.1057  3 F 2.75
Rb2 0.8943 0.8943 0.8943  3 F 2.75
Pr1 0.5000 0.5000 0.5000  6 F 2.42
Mg1 0.0000 0.5000 0.5000  6 F 1.99-2.01
Mg2 0.5000 0.0000 0.5000  6 F 1.99-2.01
Mg3 0.5000 0.5000 0.0000  6 F 1.99-2.01
F1 0.1043 0.6279 0.6279  1 Mg 2.01
F2 0.2309 0.2309 0.5987  2 Mg 1.99
F3 0.2309 0.5987 0.2309  2 Mg 1.99
F4 0.3721 0.3721 0.8957  1 Mg 2.01
F5 0.3721 0.8957 0.3721  1 Mg 2.01
F6 0.4013 0.7691 0.7691  2 Mg 1.99
F7 0.5987 0.2309 0.2309  2 Mg 1.99
F8 0.6279 0.1043 0.6279  1 Mg 2.01
F9 0.6279 0.6279 0.1043  1 Mg 2.01
F10 0.7691 0.4013 0.7691  2 Mg 1.99
F11 0.7691 0.7691 0.4013  2 Mg 1.99
F12 0.8957 0.3721 0.3721  1 Mg 2.01



5.
A plane-wave DFT calculation with PBE-GGA was carried out for a relaxed structure of RbPrMgF6.

Properties
* volume: 151.1 Å³/f.u.
* M_tot: 0.0 μB per formula unit
* E_tot: -5.638 eV per atom
* symmetry: Imma

a b c (Å): 7.4747 7.4747 7.4747
angles (deg): 120.65 115.78 93.17
With the nearest neighbours (Å) after each atom.
Element x y z (fractional)
Rb1 0.3349 0.0849 0.2500  9 F 3.03-3.05
Rb2 0.6651 0.9151 0.7500  9 F 3.03-3.05
Pr1 0.0000 0.5000 0.5000  6 F 2.34-2.40
Pr2 0.5000 0.5000 0.0000  6 F 2.34-2.40
Mg1 0.0000 0.0000 0.5000  6 F 2.00-2.01
Mg2 0.0000 0.5000 0.0000  6 F 2.00-2.01
F1 0.0491 0.3449 0.1610  1 Mg 2.00
F2 0.0491 0.8881 0.7042  1 Mg 2.00
F3 0.0773 0.3273 0.7500  2 Mg 2.01
F4 0.3161 0.1119 0.6610  1 Mg 2.00
F5 0.3161 0.6551 0.2042  1 Mg 2.00
F6 0.3703 0.6203 0.7500  2 Pr 2.34
F7 0.6297 0.3797 0.2500  2 Pr 2.34
F8 0.6839 0.3449 0.7958  1 Mg 2.00
F9 0.6839 0.8881 0.3390  1 Mg 2.00
F10 0.9227 0.6727 0.2500  2 Mg 2.01
F11 0.9509 0.1119 0.2958  1 Mg 2.00
F12 0.9509 0.6551 0.8390  1 Mg 2.00



6.
A plane-wave DFT calculation with PBE-GGA was carried out for a relaxed structure of Mg3PtF.

Properties
* volume: 77.7 Å³/f.u.
* offset from the most stable computed form: 0 kJ/mol of formula units
* M_tot: 0.0 μB per formula unit
* symmetry: Pm-3m

a b c (Å): 4.2674 4.2674 4.2674
angles (deg): 90.00 90.00 90.00
With the nearest neighbours (Å) after each atom.
Element x y z (fractional)
Mg1 0.0000 0.0000 0.5000  2 F 2.13
Mg2 0.0000 0.5000 0.0000  2 F 2.13
Mg3 0.5000 0.0000 0.0000  2 F 2.13
Pt1 0.5000 0.5000 0.5000  12 Mg 3.02
F1 0.0000 0.0000 0.0000  6 Mg 2.13



Which ρ belongs to each record? In order, 3.66 3.94 4.32 3.67 4.01 6.13 g cm⁻³.